1.
TbPuAgAu | PBE | relaxed

Unit cell a=5.1584 b=5.1584 c=5.1584 alpha=60.00 beta=60.00 gamma=60.00
With the nearest neighbours (Å) after each atom.
Sites, in units of the cell vectors:
Ag1 0.2500 0.2500 0.2500  4 Tb 3.16, 4 Pu 3.16
Pu1 0.5000 0.5000 0.5000  4 Ag 3.16, 4 Au 3.16
Tb1 0.0000 0.0000 0.0000  4 Ag 3.16, 4 Au 3.16
Au1 0.7500 0.7500 0.7500  4 Tb 3.16, 4 Pu 3.16

Results
Spin magnetization   5.76 Bohr magnetons per cell
Symmetry   F-43m (216)
Energy   -6.604 eV/atom

2.
PuAgTe3Au | PBE | relaxed

Unit cell a=4.3089 b=7.1453 c=10.8909 alpha=97.62 beta=90.00 gamma=90.00
With the nearest neighbours (Å) after each atom.
Sites, in units of the cell vectors:
Te1 0.2500 0.6740 0.4678  3 Au 2.84-3.07
Te2 0.2500 0.0542 0.8341  1 Au 2.77, 2 Ag 2.91
Te3 0.7500 0.4037 0.1468  3 Ag 2.90-2.98, 2 Pu 3.17
Te4 0.7500 0.3260 0.5322  3 Au 2.84-3.07
Te5 0.7500 0.9458 0.1659  1 Au 2.77, 2 Ag 2.91
Te6 0.2500 0.5963 0.8532  3 Ag 2.90-2.98, 2 Pu 3.17
Ag1 0.2500 0.6707 0.1294  5 Te 2.90-2.98
Ag2 0.7500 0.3293 0.8706  5 Te 2.90-2.98
Pu1 0.7500 0.7706 0.6877  7 Te 3.17-3.40, 3 Au 3.25-3.44
Pu2 0.2500 0.2294 0.3123  7 Te 3.17-3.40, 3 Au 3.25-3.44
Au1 0.2500 0.0899 0.5841  4 Te 2.77-3.07, 2 Au 3.00
Au2 0.7500 0.9101 0.4159  4 Te 2.77-3.07, 2 Au 3.00

Results
Spin magnetization   10.06 Bohr magnetons per cell
Symmetry   P2_1/m (11)
Energy   -5.390 eV/atom

3.
PuAgTeAu | PBE | relaxed

Unit cell a=5.1005 b=5.1005 c=5.1005 alpha=60.00 beta=60.00 gamma=60.00
With the nearest neighbours (Å) after each atom.
Sites, in units of the cell vectors:
Pu1 0.7500 0.7500 0.7500  4 Au 3.12, 4 Te 3.12
Ag1 0.2500 0.2500 0.2500  4 Te 3.12, 4 Au 3.12
Au1 0.5000 0.5000 0.5000  4 Ag 3.12, 4 Pu 3.12
Te1 0.0000 0.0000 0.0000  4 Pu 3.12, 4 Ag 3.12

Results
Spin magnetization   5.91 Bohr magnetons per cell
Symmetry   F-43m (216)
Energy   -6.301 eV/atom

4.
PuThAgAu | PBE | relaxed

Unit cell a=5.2238 b=5.2238 c=5.2238 alpha=60.00 beta=60.00 gamma=60.00
With the nearest neighbours (Å) after each atom.
Sites, in units of the cell vectors:
Au1 0.7500 0.7500 0.7500  4 Pu 3.20, 4 Th 3.20
Ag1 0.2500 0.2500 0.2500  4 Th 3.20, 4 Pu 3.20
Th1 0.0000 0.0000 0.0000  4 Ag 3.20, 4 Au 3.20
Pu1 0.5000 0.5000 0.5000  4 Au 3.20, 4 Ag 3.20

Results
Spin magnetization   6.27 Bohr magnetons per cell
Symmetry   F-43m (216)
Energy   -7.174 eV/atom

5.
Rb7AgAu2 | PBE | relaxed

Unit cell a=6.0913 b=6.0913 c=17.4327 alpha=79.94 beta=79.94 gamma=60.00
With the nearest neighbours (Å) after each atom.
Sites, in units of the cell vectors:
Rb1 0.1410 0.1410 0.5770  1 Au 3.59, 3 Ag 3.75
Rb2 0.0000 0.0000 0.0000  2 Au 3.63
Rb3 0.8590 0.8590 0.4230  1 Au 3.59, 3 Ag 3.75
Rb4 0.4259 0.4259 0.7223  3 Au 3.69, 1 Ag 3.80
Rb5 0.5741 0.5741 0.2777  3 Au 3.69, 1 Ag 3.80
Rb6 0.7165 0.7165 0.8505  3 Au 3.68
Rb7 0.2835 0.2835 0.1495  3 Au 3.68
Au1 0.0710 0.0710 0.7871  8 Rb 3.59-3.69
Au2 0.9290 0.9290 0.2129  8 Rb 3.59-3.69
Ag1 0.5000 0.5000 0.5000  8 Rb 3.75-3.80

Results
Spin magnetization   1.09 Bohr magnetons per cell
Symmetry   R-3m (166)
Energy   -1.694 eV/atom

6.
RbAg9Au3 | PBE | relaxed

Unit cell a=5.5293 b=7.5302 c=7.4832 alpha=81.98 beta=68.32 gamma=67.81
With the nearest neighbours (Å) after each atom.
Sites, in units of the cell vectors:
Ag1 0.0024 0.6435 0.3554  6 Ag 2.84-3.01, 3 Au 2.99-3.02
Ag2 0.2651 0.2352 0.2340  5 Ag 2.81-3.01, 3 Au 2.82-2.84
Ag3 0.4992 0.2352 0.7660  5 Ag 2.81-3.01, 3 Au 2.82-2.84
Ag4 0.3578 0.6435 0.6446  6 Ag 2.84-3.01, 3 Au 2.99-3.02
Ag5 0.9976 0.3565 0.6446  6 Ag 2.84-3.01, 3 Au 2.99-3.02
Ag6 0.0000 0.5000 0.0000  2 Au 2.76, 8 Ag 2.81-3.01
Ag7 0.5008 0.7648 0.2340  5 Ag 2.81-3.01, 3 Au 2.82-2.84
Ag8 0.7349 0.7648 0.7660  5 Ag 2.81-3.01, 3 Au 2.82-2.84
Ag9 0.6422 0.3565 0.3554  6 Ag 2.84-3.01, 3 Au 2.99-3.02
Au1 0.5000 0.0000 0.5000  2 Au 2.76, 8 Ag 2.82-3.02
Au2 0.0000 0.0000 0.5000  2 Au 2.76, 8 Ag 2.82-3.02
Au3 0.5000 0.5000 0.0000  10 Ag 2.76-2.99
Rb1 0.0000 0.0000 0.0000  14 Ag 3.51-3.77, 6 Au 3.74

Results
Spin magnetization   0.00 Bohr magnetons per cell
Symmetry   C2/m (12)
Energy   -2.816 eV/atom

7.
Rb4AgAu | PBE | relaxed

Unit cell a=8.1506 b=9.5390 c=9.8812 alpha=113.78 beta=108.63 gamma=101.11
With the nearest neighbours (Å) after each atom.
Sites, in units of the cell vectors:
Rb1 0.0098 0.2375 0.8809  2 Au 3.57-3.59, 2 Ag 3.73-3.84
Rb2 0.9902 0.7625 0.1191  2 Au 3.57-3.59, 2 Ag 3.73-3.84
Rb3 0.6289 0.3567 0.1191  2 Au 3.57-3.59, 2 Ag 3.73-3.84
Rb4 0.3711 0.6433 0.8809  2 Au 3.57-3.59, 2 Ag 3.73-3.84
Rb5 0.3537 0.9443 0.6489  2 Au 3.66-3.69, 2 Ag 3.78-3.85
Rb6 0.6463 0.0557 0.3511  2 Au 3.66-3.69, 2 Ag 3.78-3.85
Rb7 0.7952 0.7046 0.6489  2 Au 3.66-3.69, 2 Ag 3.78-3.85
Rb8 0.2048 0.2954 0.3511  2 Au 3.66-3.69, 2 Ag 3.78-3.85
Ag1 0.3845 0.6345 0.2689  8 Rb 3.73-3.85
Ag2 0.6155 0.3655 0.7311  8 Rb 3.73-3.85
Au1 0.7494 0.9994 0.9988  8 Rb 3.57-3.69
Au2 0.2506 0.0006 0.0012  8 Rb 3.57-3.69

Results
Spin magnetization   0.00 Bohr magnetons per cell
Distance to the lowest polymorph of the same formula   0.000 eV/atom
Symmetry   C2/c (15)
Energy   -1.735 eV/atom

8.
RbAgAu | PBE | relaxed

Unit cell a=4.6861 b=8.4582 c=6.9116 alpha=127.73 beta=109.82 gamma=90.00
With the nearest neighbours (Å) after each atom.
Sites, in units of the cell vectors:
Rb1 0.2531 0.2531 0.5063  6 Au 3.65-3.79, 6 Ag 3.69-3.75
Rb2 0.7469 0.7469 0.4937  6 Au 3.65-3.79, 6 Ag 3.69-3.75
Ag1 0.5000 0.1631 0.0000  1 Ag 2.76, 2 Au 2.77
Ag2 0.5000 0.8369 0.0000  1 Ag 2.76, 2 Au 2.77
Au1 0.0000 0.6629 0.0000  1 Au 2.75, 2 Ag 2.77
Au2 0.0000 0.3371 0.0000  1 Au 2.75, 2 Ag 2.77

Results
Spin magnetization   0.00 Bohr magnetons per cell
Distance to the lowest polymorph of the same formula   0.029 eV/atom
Symmetry   Immm (71)
Energy   -2.447 eV/atom